(1)
Crystalline Fe2SbPt at its relaxed geometry, computed with GGA-PBE.

Cell: 2.9077 3.9872 5.4002 Å, 90.00 90.00 90.00°
Space group Pmmm (No. 47)
Asymmetric unit:
Fe1 0.0000 0.0000 0.2343
Sb1 0.5000 0.5000 0.5000
Pt1 0.5000 0.5000 0.0000

Properties
Total moment: 5.71 μB/cell
N(E_F): 0.72 states/eV/atom
E_form (uncorrected): 91 meV per atom

(2)
Crystalline Dy8YSc2 at its relaxed geometry, computed with GGA-PBE.

Cell: 8.8930 16.0975 5.8025 Å, 90.00 125.35 90.00°
Space group C2/m (No. 12)
Asymmetric unit:
Dy1 0.0000 0.2065 0.0000
Dy2 0.0608 0.5000 0.7893
Dy3 0.2204 0.1240 0.6871
Y1 0.0000 0.0000 0.0000
Sc1 0.0000 0.3115 0.5000

Properties
Total moment: 0.00 μB/cell
N(E_F): 1.44 states/eV/atom
Energy of formation from the pure elements: 0.17 eV/atom

(3)
Crystalline Zn5Cl4 at its relaxed geometry, computed with GGA-PBE.

Cell: 11.9845 11.9845 3.8199 Å, 90.00 90.00 90.00°
Space group I4/mmm (No. 139)
Asymmetric unit:
Zn1 0.0000 0.0000 0.0000
Zn2 0.2024 0.2024 0.5000
Cl1 0.0000 0.1959 0.0000

Properties
Total moment: 0.00 μB/cell
N(E_F): 0.20 states/eV/atom
E_form (uncorrected): -344 meV per atom

(4)
Crystalline FeRe2Ru at its relaxed geometry, computed with GGA-PBE.

Cell: 3.0435 4.2647 8.6961 Å, 90.00 90.00 90.00°
Space group Immm (No. 71)
Asymmetric unit:
Fe1 0.0000 0.0000 0.0000
Re1 0.0000 0.5000 0.2651
Ru1 0.0000 0.0000 0.5000

Properties
Total moment: 5.71 μB/cell
N(E_F): 0.98 states/eV/atom
Energy of formation from the pure elements: 0.19 eV/atom

(5)
Crystalline La6PmTh2 at its relaxed geometry, computed with GGA-PBE.

Cell: 3.6543 3.6543 27.6883 Å, 90.00 90.00 120.00°
Space group P-6m2 (No. 187)
Asymmetric unit:
La1 0.0000 0.0000 0.0629
La2 0.0000 0.0000 0.2759
La3 0.3333 0.6667 0.3912
Pm1 0.0000 0.0000 0.5000
Th1 0.3333 0.6667 0.1688

Properties
Total moment: 0.00 μB/cell
N(E_F): 1.88 states/eV/atom
Energy of formation from the pure elements: 0.07 eV/atom

(6)
Crystalline AsPbAu3 at its relaxed geometry, computed with GGA-PBE.

Cell: 5.0028 5.0028 5.0028 Å, 90.00 90.00 90.00°
Space group Pm-3m (No. 221)
Asymmetric unit:
As1 0.0000 0.0000 0.0000
Pb1 0.5000 0.5000 0.5000
Au1 0.0000 0.0000 0.5000

Properties
Total moment: 0.00 μB/cell
N(E_F): 0.53 states/eV/atom
Energy of formation from the pure elements: 0.23 eV/atom

(7)
Crystalline NaCu2Ir at its relaxed geometry, computed with GGA-PBE.

Cell: 6.1329 6.1329 6.1329 Å, 90.00 90.00 90.00°
Space group Fm-3m (No. 225)
Asymmetric unit:
Na1 0.0000 0.0000 0.0000
Cu1 0.2500 0.2500 0.2500
Ir1 0.0000 0.0000 0.5000

Properties
Total moment: 0.00 μB/cell
N(E_F): 0.11 states/eV/atom
Energy of formation from the pure elements: 0.40 eV/atom

(8)
Crystalline Mn10AlB3 at its relaxed geometry, computed with GGA-PBE.

Cell: 10.5497 10.5497 10.5497 Å, 90.00 90.00 90.00°
Space group Fm-3m (No. 225)
Asymmetric unit:
Mn1 0.0000 0.1718 0.1718
Mn2 0.1157 0.1157 0.3843
Al1 0.2500 0.2500 0.2500
B1 0.0000 0.0000 0.2711

Properties
Total moment: 85.26 μB/cell
N(E_F): 0.94 states/eV/atom
Energy of formation from the pure elements: -0.16 eV/atom

Q: Number 5 is which compound?
A: La6PmTh2

Q: What is the N(E_F) in the seventh record?
A: 0.11 states/eV/atom